Entry from Alexandria: crystalline CaAs2Br at its relaxed geometry (GGA-PBE).

Its total moment is 0.0 μB per formula unit. For the total energy, the calculation gives -0.14846 hartree per atom. As for the density of states at the Fermi level: 1.17 states/eV per cell. The symmetry is No. 12. The value obtained for the formation energy without anion corrections is -0.796 eV/atom.

Structure (CIF):
```
data_CaAs2Br
_cell_length_a 6.293
_cell_length_b 6.293
_cell_length_c 4.596
_cell_angle_alpha 95.69
_cell_angle_beta 95.69
_cell_angle_gamma 35.48
_symmetry_space_group_name_H-M 'P 1'
_symmetry_Int_Tables_number 1
_symmetry_space_group_name_Hall 'P 1'
loop_
_atom_site_label
_atom_site_fract_x
_atom_site_fract_y
_atom_site_fract_z
_atom_site_occupancy
Ca1 0.000 0.000 0.000 1
As1 0.249 0.249 0.829 1
As2 0.751 0.751 0.171 1
Br1 0.500 0.500 0.500 1
```